Record 1
Density functional theory data (PBE-GGA) for LaBiAsSe2 after structural relaxation.

a = 5.567 Å, b = 6.750 Å, c = 5.567 Å
α = 90.00°, β = 90.00°, γ = 90.00°
Last column: magnetic moment on the atom in μB.
Element x y z (fractional)
1 As 0.500 0.500 0.500  0.84
2 Bi 0.000 0.500 0.000  -0.54
3 Se 0.000 0.000 0.500  0.10
4 Se 0.500 0.000 0.000  0.06
5 La 0.000 0.000 0.000  0.01

energy above the most stable polymorph in this dataset = 539 meV/atom
total moment = 0.26 μB per atom
formation energy from raw total energies = 0.266 eV/atom
total DFT energy (no corrections) = -3.8194 eV/atom
space-group type = P4/mmm (123)

---

Record 2
Density functional theory data (PBE-GGA) for ZnBi2PbO6 after structural relaxation.

a = 5.873 Å, b = 5.873 Å, c = 5.995 Å
α = 60.67°, β = 60.67°, γ = 59.99°
Element x y z (fractional)
1 Zn 0.804 0.804 0.589
2 Bi 0.526 0.526 0.422
3 Bi 0.026 0.026 0.923
4 Pb 0.310 0.310 0.070
5 O 0.617 0.161 0.256
6 O 0.161 0.966 0.256
7 O 0.966 0.617 0.256
8 O 0.471 0.669 0.748
9 O 0.669 0.112 0.748
10 O 0.112 0.471 0.748

total moment = 0.00 μB per atom
formation energy from raw total energies = -1.118 eV/atom
total DFT energy (no corrections) = -5.3677 eV/atom
space-group type = R3 (146)

---

Record 3
Density functional theory data (PBE-GGA) for CaMnH3 after structural relaxation.

a = 3.505 Å, b = 3.505 Å, c = 3.505 Å
α = 90.00°, β = 90.00°, γ = 90.00°
Element x y z (fractional)
1 H 0.000 0.500 0.000
2 H 0.000 0.000 0.500
3 H 0.500 0.000 0.000
4 Ca 0.500 0.500 0.500
5 Mn 0.000 0.000 0.000

energy above the most stable polymorph in this dataset = 0 meV/atom
total moment = 0.00 μB per atom
total DFT energy (no corrections) = -4.4705 eV/atom
space-group type = Pm-3m (221)

---

Record 4
Density functional theory data (PBE-GGA) for Pa2InTc after structural relaxation.

a = 4.424 Å, b = 4.432 Å, c = 4.432 Å
α = 90.00°, β = 90.00°, γ = 90.00°
Element x y z (fractional)
1 Pa 0.000 0.000 0.500
2 Pa 0.000 0.500 0.000
3 Tc 0.500 0.000 0.000
4 In 0.500 0.500 0.500

energy above the most stable polymorph in this dataset = 184 meV/atom
total moment = 0.00 μB per atom
total DFT energy (no corrections) = -8.0446 eV/atom
space-group type = P4/mmm (123)

---

Record 5
Density functional theory data (PBE-GGA) for Tm2Se2F3 after structural relaxation.

a = 3.671 Å, b = 5.548 Å, c = 7.076 Å
α = 116.47°, β = 90.00°, γ = 109.32°
Element x y z (fractional)
1 Tm 0.836 0.671 0.768
2 Tm 0.164 0.329 0.232
3 Se 0.868 0.736 0.211
4 Se 0.132 0.264 0.789
5 F 0.500 0.000 0.000
6 F 0.663 0.326 0.415
7 F 0.337 0.674 0.585

total moment = 0.00 μB per atom
formation energy from raw total energies = -2.799 eV/atom
total DFT energy (no corrections) = -5.8743 eV/atom
space-group type = C2/m (12)

---

Record 6
Density functional theory data (PBE-GGA) for HfAl2SbAu after structural relaxation.

a = 4.716 Å, b = 5.415 Å, c = 4.716 Å
α = 90.00°, β = 90.00°, γ = 90.00°
Element x y z (fractional)
1 Hf 0.000 0.500 0.000
2 Au 0.000 0.000 0.000
3 Al 0.000 0.000 0.500
4 Al 0.500 0.000 0.000
5 Sb 0.500 0.500 0.500

total moment = 0.00 μB per atom
formation energy from raw total energies = 0.163 eV/atom
total DFT energy (no corrections) = -4.8042 eV/atom
space-group type = P4/mmm (123)

---

no.,N(E_F) (states/eV/atom)
1,1.700
2,0.000
3,0.182
4,1.193
5,0.279
6,0.305